A geometry-optimized Sm2TlH structure, computed with GGA-PBE.

Summary:
Density of states at the Fermi level in states/eV per atom: 0.636
Distance to the lowest polymorph of the same formula in kJ per mole of atoms: 3.62

a = 7.153 Å, b = 4.916 Å, c = 10.385 Å
α = 90.00°, β = 90.00°, γ = 90.00°
Sites, in units of the cell vectors:
Sm: 0.076 0.250 0.193
Sm: 0.144 0.250 0.553
Sm: 0.356 0.750 0.053
Sm: 0.424 0.750 0.693
Sm: 0.576 0.250 0.307
Sm: 0.644 0.250 0.947
Sm: 0.856 0.750 0.447
Sm: 0.924 0.750 0.807
Tl: 0.194 0.250 0.866
Tl: 0.306 0.750 0.366
Tl: 0.694 0.250 0.634
Tl: 0.806 0.750 0.134
H: 0.098 0.750 0.617
H: 0.402 0.250 0.117
H: 0.598 0.750 0.883
H: 0.902 0.250 0.383

=====

A geometry-optimized Sm2TlH2 structure, computed with GGA-PBE.

Summary:
Density of states at the Fermi level in states/eV per atom: 0.452
Distance to the lowest polymorph of the same formula in kJ per mole of atoms: 0.00

a = 3.950 Å, b = 3.950 Å, c = 12.116 Å
α = 90.00°, β = 90.00°, γ = 90.00°
Sites, in units of the cell vectors:
Sm: 0.000 0.000 0.151
Sm: 0.000 0.000 0.849
Sm: 0.500 0.500 0.349
Sm: 0.500 0.500 0.651
Tl: 0.000 0.000 0.500
Tl: 0.500 0.500 0.000
H: 0.000 0.500 0.250
H: 0.000 0.500 0.750
H: 0.500 0.000 0.250
H: 0.500 0.000 0.750

=====

A geometry-optimized Sm6Tl3H2 structure, computed with GGA-PBE.

Summary:
Density of states at the Fermi level in states/eV per atom: 0.857
Total DFT energy (no corrections) in eV/cell: -45.324

a = 13.008 Å, b = 13.008 Å, c = 13.008 Å
α = 158.57°, β = 158.57°, γ = 30.49°
Sites, in units of the cell vectors:
Sm: 0.085 0.585 0.500
Sm: 0.199 0.199 0.000
Sm: 0.415 0.915 0.500
Sm: 0.585 0.085 0.500
Sm: 0.801 0.801 0.000
Sm: 0.915 0.415 0.500
Tl: 0.326 0.326 0.000
Tl: 0.500 0.500 0.000
Tl: 0.674 0.674 0.000
H: 0.103 0.103 0.000
H: 0.897 0.897 0.000

=====

A geometry-optimized Sm5Tl4H structure, computed with GGA-PBE.

Summary:
Density of states at the Fermi level in states/eV per atom: 1.047
Total DFT energy (no corrections) in eV/cell: -38.315

a = 7.433 Å, b = 7.433 Å, c = 7.433 Å
α = 99.18°, β = 99.18°, γ = 132.92°
Sites, in units of the cell vectors:
Sm: 0.000 0.000 0.000
Sm: 0.282 0.628 0.908
Sm: 0.375 0.282 0.654
Sm: 0.628 0.720 0.346
Sm: 0.720 0.375 0.092
Tl: 0.047 0.342 0.382
Tl: 0.342 0.960 0.295
Tl: 0.665 0.047 0.705
Tl: 0.960 0.665 0.618
H: 0.601 0.601 0.000

=====

A geometry-optimized Sm4Tl3H2 structure, computed with GGA-PBE.

Summary:
Density of states at the Fermi level in states/eV per atom: 0.689
Total DFT energy (no corrections) in eV/cell: -36.188

a = 6.064 Å, b = 6.064 Å, c = 8.631 Å
α = 107.57°, β = 107.57°, γ = 45.46°
Sites, in units of the cell vectors:
Sm: 0.121 0.121 0.409
Sm: 0.291 0.291 0.864
Sm: 0.709 0.709 0.136
Sm: 0.879 0.879 0.591
Tl: 0.000 0.000 0.000
Tl: 0.397 0.397 0.309
Tl: 0.603 0.603 0.691
H: 0.314 0.314 0.613
H: 0.686 0.686 0.387

=====

A geometry-optimized Sm4Tl3H structure, computed with GGA-PBE.

Summary:
Density of states at the Fermi level in states/eV per atom: 1.085
Total DFT energy (no corrections) in eV/cell: -59.687

a = 7.540 Å, b = 10.109 Å, c = 6.313 Å
α = 90.00°, β = 90.00°, γ = 90.00°
Sites, in units of the cell vectors:
Sm: 0.000 0.036 0.000
Sm: 0.000 0.830 0.540
Sm: 0.235 0.665 0.150
Sm: 0.265 0.335 0.650
Sm: 0.500 0.170 0.040
Sm: 0.500 0.964 0.500
Sm: 0.735 0.335 0.650
Sm: 0.765 0.665 0.150
Tl: 0.000 0.127 0.475
Tl: 0.194 0.353 0.152
Tl: 0.306 0.647 0.652
Tl: 0.500 0.873 0.975
Tl: 0.694 0.647 0.652
Tl: 0.806 0.353 0.152
H: 0.000 0.814 0.162
H: 0.500 0.186 0.662